No. 1
# TmGaNi3Ge | Alexandria via LeMat-Bulk | PBE | optimized geometry
# Formation enthalpy at 0 K ... -0.357 eV per atom
data_TmGaNi3Ge
_chemical_formula_sum 'Tm4 Ga4 Ni12 Ge4'
_space_group_name_H-M_alt 'C m c m'
_space_group_IT_number 63
_space_group_name_Hall '-C 2c 2'
_cell_length_a 6.122
_cell_length_b 11.515
_cell_length_c 5.356
_cell_angle_alpha 90.00
_cell_angle_beta 90.00
_cell_angle_gamma 90.00
loop_
_atom_site_label
_atom_site_fract_x
_atom_site_fract_y
_atom_site_fract_z
Tm1 0.000 0.203 0.250
Ga1 0.000 0.448 0.250
Ni1 0.000 0.343 0.750
Ni2 0.199 0.000 0.000
Ge1 0.000 0.139 0.750



No. 2
# Tm3GaNi9Ge2 | Alexandria via LeMat-Bulk | PBE | optimized geometry
# Formation enthalpy at 0 K ... -0.208 eV per atom
data_Tm3GaNi9Ge2
_chemical_formula_sum 'Tm3 Ga1 Ni9 Ge2'
_space_group_name_H-M_alt 'P -3 m 1'
_space_group_IT_number 164
_space_group_name_Hall '-P 3 2"'
_cell_length_a 5.9115
_cell_length_b 5.9115
_cell_length_c 8.6229
_cell_angle_alpha 90.00
_cell_angle_beta 90.00
_cell_angle_gamma 120.00
loop_
_atom_site_label
_atom_site_fract_x
_atom_site_fract_y
_atom_site_fract_z
Tm1 0.0000 0.0000 0.0000
Tm2 0.3333 0.6667 0.7201
Ga1 0.0000 0.0000 0.5000
Ni1 0.0000 0.5000 0.0000
Ni2 0.1332 0.2663 0.2764
Ge1 0.3333 0.6667 0.1836



No. 3
# TmGaNi2Ge2 | Alexandria via LeMat-Bulk | PBE | optimized geometry
# Formation enthalpy at 0 K ... -0.145 eV per atom
data_TmGaNi2Ge2
_chemical_formula_sum 'Tm1 Ga1 Ni2 Ge2'
_space_group_name_H-M_alt 'P 4/m m m'
_space_group_IT_number 123
_space_group_name_Hall '-P 4 2'
_cell_length_a 4.362
_cell_length_b 4.362
_cell_length_c 5.518
_cell_angle_alpha 90.00
_cell_angle_beta 90.00
_cell_angle_gamma 90.00
loop_
_atom_site_label
_atom_site_fract_x
_atom_site_fract_y
_atom_site_fract_z
Tm1 0.000 0.000 0.000
Ga1 0.000 0.000 0.500
Ni1 0.000 0.500 0.500
Ge1 0.500 0.500 0.235



No. 4
# VGaNiGe2 | Alexandria via LeMat-Bulk | PBE | optimized geometry
# Formation enthalpy at 0 K ... 0.651 eV per atom
data_VGaNiGe2
_chemical_formula_sum 'V1 Ga1 Ni1 Ge2'
_space_group_name_H-M_alt 'P 4/m m m'
_space_group_IT_number 123
_space_group_name_Hall '-P 4 2'
_cell_length_a 4.535
_cell_length_b 4.535
_cell_length_c 4.451
_cell_angle_alpha 90.00
_cell_angle_beta 90.00
_cell_angle_gamma 90.00
loop_
_atom_site_label
_atom_site_fract_x
_atom_site_fract_y
_atom_site_fract_z
V1 0.000 0.000 0.000
Ga1 0.500 0.500 0.000
Ni1 0.500 0.500 0.500
Ge1 0.000 0.500 0.500



No. 5
# YGa2Ni2Ge | Alexandria via LeMat-Bulk | PBE | optimized geometry
# Formation enthalpy at 0 K ... -0.307 eV per atom
data_YGa2Ni2Ge
_chemical_formula_sum 'Y1 Ga2 Ni2 Ge1'
_space_group_name_H-M_alt 'P 4/m m m'
_space_group_IT_number 123
_space_group_name_Hall '-P 4 2'
_cell_length_a 4.383
_cell_length_b 4.383
_cell_length_c 5.500
_cell_angle_alpha 90.00
_cell_angle_beta 90.00
_cell_angle_gamma 90.00
loop_
_atom_site_label
_atom_site_fract_x
_atom_site_fract_y
_atom_site_fract_z
Y1 0.000 0.000 0.000
Ga1 0.500 0.500 0.237
Ni1 0.000 0.500 0.500
Ge1 0.000 0.000 0.500



No. 6
# Y3Ga2Ni9Ge | Alexandria via LeMat-Bulk | PBE | optimized geometry
# Formation enthalpy at 0 K ... -0.148 eV per atom
data_Y3Ga2Ni9Ge
_chemical_formula_sum 'Y3 Ga2 Ni9 Ge1'
_space_group_name_H-M_alt 'P -3 m 1'
_space_group_IT_number 164
_space_group_name_Hall '-P 3 2"'
_cell_length_a 6.0069
_cell_length_b 6.0069
_cell_length_c 8.3686
_cell_angle_alpha 90.00
_cell_angle_beta 90.00
_cell_angle_gamma 120.00
loop_
_atom_site_label
_atom_site_fract_x
_atom_site_fract_y
_atom_site_fract_z
Y1 0.0000 0.0000 0.0000
Y2 0.3333 0.6667 0.6996
Ga1 0.3333 0.6667 0.1882
Ni1 0.0000 0.5000 0.0000
Ni2 0.1336 0.2672 0.2811
Ge1 0.0000 0.0000 0.5000



No. 7
# Y2GaNi4Ge3 | Alexandria via LeMat-Bulk | PBE | optimized geometry
# Formation enthalpy at 0 K ... -0.696 eV per atom
data_Y2GaNi4Ge3
_chemical_formula_sum 'Y2 Ga1 Ni4 Ge3'
_space_group_name_H-M_alt 'P -4 m 2'
_space_group_IT_number 115
_space_group_name_Hall 'P -4 -2'
_cell_length_a 4.065
_cell_length_b 4.065
_cell_length_c 9.785
_cell_angle_alpha 90.00
_cell_angle_beta 90.00
_cell_angle_gamma 90.00
loop_
_atom_site_label
_atom_site_fract_x
_atom_site_fract_y
_atom_site_fract_z
Y1 0.000 0.500 0.249
Ga1 0.000 0.000 0.500
Ni1 0.000 0.000 0.000
Ni2 0.000 0.500 0.633
Ni3 0.500 0.500 0.000
Ge1 0.000 0.500 0.872
Ge2 0.500 0.500 0.500



No. 8
# Y2Ga3Ni4Ge | Alexandria via LeMat-Bulk | PBE | optimized geometry
# Formation enthalpy at 0 K ... -0.598 eV per atom
data_Y2Ga3Ni4Ge
_chemical_formula_sum 'Y2 Ga3 Ni4 Ge1'
_space_group_name_H-M_alt 'P -4 m 2'
_space_group_IT_number 115
_space_group_name_Hall 'P -4 -2'
_cell_length_a 4.061
_cell_length_b 4.061
_cell_length_c 9.927
_cell_angle_alpha 90.00
_cell_angle_beta 90.00
_cell_angle_gamma 90.00
loop_
_atom_site_label
_atom_site_fract_x
_atom_site_fract_y
_atom_site_fract_z
Y1 0.000 0.500 0.248
Ga1 0.000 0.000 0.000
Ga2 0.000 0.500 0.629
Ni1 0.000 0.000 0.500
Ni2 0.000 0.500 0.868
Ni3 0.500 0.500 0.500
Ge1 0.500 0.500 0.000



No. 9
# YGaNi2Ge2 | Alexandria via LeMat-Bulk | PBE | optimized geometry
# Formation enthalpy at 0 K ... -0.197 eV per atom
data_YGaNi2Ge2
_chemical_formula_sum 'Y1 Ga1 Ni2 Ge2'
_space_group_name_H-M_alt 'P 4/m m m'
_space_group_IT_number 123
_space_group_name_Hall '-P 4 2'
_cell_length_a 4.369
_cell_length_b 4.369
_cell_length_c 5.561
_cell_angle_alpha 90.00
_cell_angle_beta 90.00
_cell_angle_gamma 90.00
loop_
_atom_site_label
_atom_site_fract_x
_atom_site_fract_y
_atom_site_fract_z
Y1 0.000 0.000 0.000
Ga1 0.000 0.000 0.500
Ni1 0.000 0.500 0.500
Ge1 0.500 0.500 0.236



No. 10
# YGaNi2Ge | Alexandria via LeMat-Bulk | PBE | optimized geometry
# Formation enthalpy at 0 K ... 0.317 eV per atom
data_YGaNi2Ge
_chemical_formula_sum 'Y1 Ga1 Ni2 Ge1'
_space_group_name_H-M_alt 'P 4/m m m'
_space_group_IT_number 123
_space_group_name_Hall '-P 4 2'
_cell_length_a 4.379
_cell_length_b 4.379
_cell_length_c 5.381
_cell_angle_alpha 90.00
_cell_angle_beta 90.00
_cell_angle_gamma 90.00
loop_
_atom_site_label
_atom_site_fract_x
_atom_site_fract_y
_atom_site_fract_z
Y1 0.000 0.000 0.000
Ga1 0.000 0.000 0.500
Ni1 0.000 0.500 0.500
Ge1 0.500 0.500 0.000



Q: formation enthalpy at 0 K of number 5 (YGa2Ni2Ge)?
A: -0.307 eV per atom



Please write out number 5 again, unchanged.
# YGa2Ni2Ge | Alexandria via LeMat-Bulk | PBE | optimized geometry
# Formation enthalpy at 0 K ... -0.307 eV per atom
data_YGa2Ni2Ge
_chemical_formula_sum 'Y1 Ga2 Ni2 Ge1'
_space_group_name_H-M_alt 'P 4/m m m'
_space_group_IT_number 123
_space_group_name_Hall '-P 4 2'
_cell_length_a 4.383
_cell_length_b 4.383
_cell_length_c 5.500
_cell_angle_alpha 90.00
_cell_angle_beta 90.00
_cell_angle_gamma 90.00
loop_
_atom_site_label
_atom_site_fract_x
_atom_site_fract_y
_atom_site_fract_z
Y1 0.000 0.000 0.000
Ga1 0.500 0.500 0.237
Ni1 0.000 0.500 0.500
Ge1 0.000 0.000 0.500